*w*
VASP calculation (SCAN) on TlCd2Rh at its PBEsol-relaxed geometry.

Summary:
Space group: No. 119
DOS(E_F): 0.382 states/eV/atom

a b c (Å): 5.2275 5.2275 5.2275
angles (deg): 133.52 133.52 67.85
Last column: nearest neighbours and their distance in Å.
Fractional coordinates of all 4 atoms:
Tl 0.0000 0.0000 0.0000  8 Cd 2.92-2.99, 4 Rh 2.99
Cd 0.5000 0.5000 0.0000  4 Tl 2.92, 4 Cd 2.99, 4 Rh 2.99
Cd 0.7500 0.2500 0.5000  4 Rh 2.92, 4 Cd 2.99, 4 Tl 2.99
Rh 0.2500 0.7500 0.5000  8 Cd 2.92-2.99, 4 Tl 2.99



*x*
VASP calculation (SCAN) on TlCd2Rh at its PBEsol-relaxed geometry.

Summary:
Space group: No. 123
DOS(E_F): 0.332 states/eV/atom

a b c (Å): 3.1351 3.1351 8.2229
angles (deg): 90.00 90.00 90.00
Last column: nearest neighbours and their distance in Å.
Fractional coordinates of all 4 atoms:
Tl 0.0000 0.0000 0.0000  4 Tl 3.14, 8 Cd 3.33
Cd 0.5000 0.5000 0.3027  4 Rh 2.75
Cd 0.5000 0.5000 0.6973  4 Rh 2.75
Rh 0.0000 0.0000 0.5000  8 Cd 2.75



*y*
VASP calculation (SCAN) on TlCd2Rh at its PBEsol-relaxed geometry.

Summary:
Space group: No. 71
DOS(E_F): 0.349 states/eV/atom

a b c (Å): 6.5599 6.5599 6.5599
angles (deg): 153.66 139.27 49.16
Last column: nearest neighbours and their distance in Å.
Fractional coordinates of all 4 atoms:
Tl 0.0000 0.0000 0.0000  4 Rh 2.73, 2 Tl 2.99
Cd 0.3029 0.8029 0.5000  2 Rh 2.79, 6 Cd 2.99-3.01
Cd 0.6971 0.1971 0.5000  2 Rh 2.79, 6 Cd 2.99-3.01
Rh 0.5000 0.5000 0.0000  4 Tl 2.73, 4 Cd 2.79, 2 Rh 2.99



Here is how they stack up, most stable first: *y*, *x*, *w*.